Density functional theory data (PBE) for FeSi16Ge12P3 after structural relaxation.

Spin magnetization (Bohr magnetons per cell): 1.1
Polymorph energy (0 for the lowest one) (meV/atom): 17
Space group: P1 (1)
Raw total energy (eV per cell): -164.759

Unit cell a=6.759 b=10.282 c=10.351 alpha=81.80 beta=71.29 gamma=83.86
Fractional coordinates of all 32 atoms:
1 Si 0.494 0.936 0.684
2 Si 0.628 0.890 0.451
3 Si 0.505 0.312 0.564
4 Si 0.507 0.689 0.433
5 Si 0.491 0.817 0.065
6 Si 0.626 0.517 0.574
7 Si 0.495 0.053 0.307
8 Si 0.996 0.500 0.498
9 Si 0.620 0.774 0.831
10 Si 0.007 0.377 0.879
11 Si 0.123 0.962 0.783
12 Si 0.123 0.845 0.129
13 Si 0.002 0.877 0.366
14 Si 0.628 0.649 0.202
15 Si 0.122 0.581 0.891
16 Si 0.123 0.454 0.270
17 P 0.633 0.007 0.081
18 P 0.129 0.071 0.388
19 P 0.011 0.115 0.628
20 Ge 0.501 0.180 0.945
21 Ge 0.498 0.568 0.810
22 Ge 0.634 0.135 0.703
23 Ge 0.997 0.759 0.754
24 Ge 0.127 0.706 0.514
25 Ge 0.116 0.185 0.010
26 Ge 0.125 0.327 0.643
27 Ge 0.005 0.629 0.126
28 Ge 0.620 0.259 0.331
29 Ge 0.498 0.444 0.190
30 Ge 0.007 0.247 0.247
31 Ge 0.633 0.391 0.953
32 Fe 0.975 0.995 0.002